(1)
An optimized crystal structure of Lu2CoSn. Source: the Open Quantum Materials Database, functional PBE.

magnetic moment: 0.01 μB/atom
electronic total energy: -5.0598 eV/atom
V: 20.71 Å³/atom
space group: F-43m

Cell: 4.8933 4.8933 4.8933 Å, 60.00 60.00 60.00°
Last column: magnetic moment on the atom in μB.
Element x y z (fractional)
Lu: 0.7500 0.7500 0.7500  0.04
Lu: 0.0000 0.0000 0.0000  0.04
Sn: 0.5000 0.5000 0.5000  0.00
Co: 0.2500 0.2500 0.2500  -0.05

***

(2)
An optimized crystal structure of NdGdBi2Te2. Source: the Open Quantum Materials Database, functional PBE.

magnetic moment: 0.00 μB/atom
electronic total energy: -5.0286 eV/atom
V: 31.09 Å³/atom
space group: P4mm

Cell: 4.4330 4.4330 9.4921 Å, 90.00 90.00 90.00°
Element x y z (fractional)
Bi: 0.5000 0.0000 0.9973
Gd: 0.0000 0.0000 0.7150
Bi: 0.0000 0.5000 0.9973
Te: 0.5000 0.5000 0.6293
Te: 0.0000 0.0000 0.3777
Nd: 0.5000 0.5000 0.2833

***

(3)
An optimized crystal structure of BeFeReSb. Source: the Open Quantum Materials Database, functional PBE.

magnetic moment: 0.29 μB/atom
polymorph energy (0 for the lowest one): 0.000 eV per atom
electronic total energy: -6.7355 eV/atom
V: 13.82 Å³/atom
space group: F-43m

Cell: 4.2756 4.2756 4.2756 Å, 60.00 60.00 60.00°
Element x y z (fractional)
Re: 0.2500 0.2500 0.2500
Sb: 0.0000 0.0000 0.0000
Be: 0.5000 0.5000 0.5000
Fe: 0.7500 0.7500 0.7500

***

(4)
An optimized crystal structure of La3PrAg4. Source: the Open Quantum Materials Database, functional PBE.

magnetic moment: 0.00 μB/atom
electronic total energy: -4.1259 eV/atom
formation enthalpy at 0 K: -2.2 eV per formula unit
V: 27.97 Å³/atom
space group: Pm

Cell: 6.0036 4.9287 7.5611 Å, 90.00 90.24 90.00°
Element x y z (fractional)
Ag: 0.1353 0.5000 0.0375
La: 0.3629 0.0000 0.8201
Pr: 0.8632 0.5000 0.6786
La: 0.1354 0.0000 0.3230
La: 0.6373 0.5000 0.1794
Ag: 0.3634 0.5000 0.5399
Ag: 0.8640 0.0000 0.9581
Ag: 0.6384 0.0000 0.4634

***

(5)
An optimized crystal structure of CsLiHfTe3. Source: the Open Quantum Materials Database, functional PBE.

magnetic moment: 0.00 μB/atom
polymorph energy (0 for the lowest one): 0.003 eV per atom
electronic total energy: -4.6796 eV/atom
V: 34.95 Å³/atom
space group: P2_1/m

Cell: 9.4586 4.2720 11.3147 Å, 90.00 113.47 90.00°
Element x y z (fractional)
Hf: 0.6869 0.7500 0.6589
Hf: 0.3131 0.2500 0.3411
Te: 0.2399 0.2500 0.0730
Te: 0.7601 0.7500 0.9270
Cs: 0.2596 0.7500 0.7925
Te: 0.5419 0.7500 0.3737
Te: 0.8888 0.2500 0.6441
Li: 0.9244 0.2500 0.8974
Li: 0.0756 0.7500 0.1026
Te: 0.1112 0.7500 0.3559
Cs: 0.7404 0.2500 0.2075
Te: 0.4581 0.2500 0.6263

***

(6)
An optimized crystal structure of LiAl2Tc. Source: the Open Quantum Materials Database, functional PBE.

magnetic moment: 0.00 μB/atom
polymorph energy (0 for the lowest one): 0.080 eV per atom
electronic total energy: -4.9900 eV/atom
V: 13.94 Å³/atom
space group: F-43m

Cell: 4.2878 4.2878 4.2878 Å, 60.00 60.00 60.00°
Element x y z (fractional)
Al: 0.5000 0.5000 0.5000
Tc: 0.0000 0.0000 0.0000
Li: 0.2500 0.2500 0.2500
Al: 0.7500 0.7500 0.7500